[1]
# Ti8In4CoNi3 (PBE, optimized geometry)
# Volume in A^3/atom: 16.7
# DOS at the Fermi energy in states/eV/cell: 13.8
# Size of the total moment in μB per atom: 0.286
data_Ti8In4CoNi3
_chemical_formula_sum 'Ti8 In4 Co1 Ni3'
_cell_length_a 15.382
_cell_length_b 15.382
_cell_length_c 15.382
_cell_angle_alpha 16.88
_cell_angle_beta 16.88
_cell_angle_gamma 16.88
_symmetry_space_group_name_H-M 'P 1'
_symmetry_Int_Tables_number 1
loop_
_symmetry_equiv_pos_as_xyz
'x,y,z'
loop_
_atom_site_label
_atom_site_type_symbol
_atom_site_fract_x
_atom_site_fract_y
_atom_site_fract_z
Ti1 Ti 0.062 0.062 0.062
Ti2 Ti 0.186 0.186 0.186
Ti3 Ti 0.312 0.312 0.312
Ti4 Ti 0.434 0.434 0.434
Ti5 Ti 0.566 0.566 0.566
Ti6 Ti 0.688 0.688 0.688
Ti7 Ti 0.814 0.814 0.814
Ti8 Ti 0.938 0.938 0.938
In1 In 0.124 0.124 0.124
In2 In 0.373 0.373 0.373
In3 In 0.627 0.627 0.627
In4 In 0.876 0.876 0.876
Co1 Co 0.000 0.000 0.000
Ni1 Ni 0.240 0.240 0.240
Ni2 Ni 0.500 0.500 0.500
Ni3 Ni 0.760 0.760 0.760

[2]
# TiInCo2Ni (PBE, optimized geometry)
# Volume in A^3/atom: 19.5
# DOS at the Fermi energy in states/eV/cell: 8.2
# Size of the total moment in μB per atom: 0.349
data_TiInCo2Ni
_chemical_formula_sum 'Ti1 In1 Co2 Ni1'
_cell_length_a 4.628
_cell_length_b 4.628
_cell_length_c 4.553
_cell_angle_alpha 90.00
_cell_angle_beta 90.00
_cell_angle_gamma 90.00
_symmetry_space_group_name_H-M 'P 1'
_symmetry_Int_Tables_number 1
loop_
_symmetry_equiv_pos_as_xyz
'x,y,z'
loop_
_atom_site_label
_atom_site_type_symbol
_atom_site_fract_x
_atom_site_fract_y
_atom_site_fract_z
Ti1 Ti 0.000 0.000 0.000
In1 In 0.500 0.500 0.500
Co1 Co 0.000 0.500 0.500
Co2 Co 0.500 0.000 0.500
Ni1 Ni 0.500 0.500 0.000

[3]
# UInCoNi (PBE, optimized geometry)
# Volume in A^3/atom: 16.9
# DOS at the Fermi energy in states/eV/cell: 6.0
# Size of the total moment in μB per atom: 0.280
data_UInCoNi
_chemical_formula_sum 'U1 In1 Co1 Ni1'
_cell_length_a 4.577
_cell_length_b 4.577
_cell_length_c 4.577
_cell_angle_alpha 60.00
_cell_angle_beta 60.00
_cell_angle_gamma 60.00
_symmetry_space_group_name_H-M 'P 1'
_symmetry_Int_Tables_number 1
loop_
_symmetry_equiv_pos_as_xyz
'x,y,z'
loop_
_atom_site_label
_atom_site_type_symbol
_atom_site_fract_x
_atom_site_fract_y
_atom_site_fract_z
U1 U 0.000 0.000 0.000
In1 In 0.500 0.500 0.500
Co1 Co 0.750 0.750 0.750
Ni1 Ni 0.250 0.250 0.250

[4]
# VInCoNi (PBE, optimized geometry)
# Volume in A^3/atom: 13.7
# DOS at the Fermi energy in states/eV/cell: 4.9
# Size of the total moment in μB per atom: 0.307
data_VInCoNi
_chemical_formula_sum 'V1 In1 Co1 Ni1'
_cell_length_a 4.260
_cell_length_b 4.260
_cell_length_c 4.260
_cell_angle_alpha 60.00
_cell_angle_beta 60.00
_cell_angle_gamma 60.00
_symmetry_space_group_name_H-M 'P 1'
_symmetry_Int_Tables_number 1
loop_
_symmetry_equiv_pos_as_xyz
'x,y,z'
loop_
_atom_site_label
_atom_site_type_symbol
_atom_site_fract_x
_atom_site_fract_y
_atom_site_fract_z
V1 V 0.000 0.000 0.000
In1 In 0.500 0.500 0.500
Co1 Co 0.250 0.250 0.250
Ni1 Ni 0.750 0.750 0.750

[5]
# InCoNiW2 (PBE, optimized geometry)
# Volume in A^3/atom: 17.5
# DOS at the Fermi energy in states/eV/cell: 5.7
# Size of the total moment in μB per atom: 0.000
data_InCoNiW2
_chemical_formula_sum 'In1 Co1 Ni1 W2'
_cell_length_a 4.440
_cell_length_b 4.440
_cell_length_c 4.432
_cell_angle_alpha 90.00
_cell_angle_beta 90.00
_cell_angle_gamma 90.00
_symmetry_space_group_name_H-M 'P 1'
_symmetry_Int_Tables_number 1
loop_
_symmetry_equiv_pos_as_xyz
'x,y,z'
loop_
_atom_site_label
_atom_site_type_symbol
_atom_site_fract_x
_atom_site_fract_y
_atom_site_fract_z
In1 In 0.000 0.000 0.000
Co1 Co 0.500 0.500 0.500
Ni1 Ni 0.500 0.500 0.000
W1 W 0.000 0.500 0.500
W2 W 0.500 0.000 0.500

[6]
# ZnIn2CoNi (PBE, optimized geometry)
# Volume in A^3/atom: 21.6
# DOS at the Fermi energy in states/eV/cell: 5.5
# Size of the total moment in μB per atom: 0.343
data_ZnIn2CoNi
_chemical_formula_sum 'Zn1 In2 Co1 Ni1'
_cell_length_a 4.940
_cell_length_b 4.940
_cell_length_c 4.429
_cell_angle_alpha 90.00
_cell_angle_beta 90.00
_cell_angle_gamma 90.00
_symmetry_space_group_name_H-M 'P 1'
_symmetry_Int_Tables_number 1
loop_
_symmetry_equiv_pos_as_xyz
'x,y,z'
loop_
_atom_site_label
_atom_site_type_symbol
_atom_site_fract_x
_atom_site_fract_y
_atom_site_fract_z
Zn1 Zn 0.000 0.000 0.000
In1 In 0.000 0.500 0.000
In2 In 0.500 0.000 0.000
Co1 Co 0.000 0.000 0.500
Ni1 Ni 0.500 0.500 0.500

Number 1: ΔH_f (0 K) -0.09 eV/atom. Number 2: ΔH_f (0 K) 1.33 eV/atom. Number 3: ΔH_f (0 K) -0.04 eV/atom. Number 4: ΔH_f (0 K) 0.01 eV/atom. Number 5: ΔH_f (0 K) 1.16 eV/atom. Number 6: ΔH_f (0 K) 1.01 eV/atom.